Record 1
# K3RuO PBE-GGA optimized geometry
# Crystal system: cubic
# Space-group type: Pm-3m
# Formation energy (no corrections) in eV/atom: 0.9883
data_K3RuO
_chemical_formula_sum 'K3 Ru1 O1'
_symmetry_space_group_name_H-M 'P 1'
_symmetry_Int_Tables_number 1
_cell_length_a 6.1038
_cell_length_b 6.1038
_cell_length_c 6.1038
_cell_angle_alpha 90.00
_cell_angle_beta 90.00
_cell_angle_gamma 90.00
loop_
_symmetry_equiv_pos_as_xyz
'x,y,z'
loop_
_atom_site_label
_atom_site_type_symbol
_atom_site_fract_x
_atom_site_fract_y
_atom_site_fract_z
K1 K 0.0000 0.0000 0.5000
O1 O 0.5000 0.5000 0.5000
K2 K 0.5000 0.0000 0.0000
Ru1 Ru 0.0000 0.0000 0.0000
K3 K 0.0000 0.5000 0.0000

Record 2
# Cs2K3TeO6 PBE-GGA optimized geometry
# Crystal system: monoclinic
# Space-group type: C2/m
# Formation energy (no corrections) in eV/atom: -1.2964
data_Cs2K3TeO6
_chemical_formula_sum 'Cs2 K3 Te1 O6'
_symmetry_space_group_name_H-M 'P 1'
_symmetry_Int_Tables_number 1
_cell_length_a 7.1421
_cell_length_b 7.1421
_cell_length_c 6.4524
_cell_angle_alpha 101.13
_cell_angle_beta 101.13
_cell_angle_gamma 120.72
loop_
_symmetry_equiv_pos_as_xyz
'x,y,z'
loop_
_atom_site_label
_atom_site_type_symbol
_atom_site_fract_x
_atom_site_fract_y
_atom_site_fract_z
O1 O 0.9345 0.7102 0.7971
K1 K 0.5000 0.5000 0.5000
O2 O 0.0655 0.2898 0.2029
K2 K 0.8570 0.1430 0.5000
O3 O 0.1728 0.1728 0.8230
Te1 Te 0.0000 0.0000 0.0000
K3 K 0.1430 0.8570 0.5000
O4 O 0.7102 0.9345 0.7971
O5 O 0.2898 0.0655 0.2029
Cs1 Cs 0.3300 0.6700 0.0000
Cs2 Cs 0.6700 0.3300 0.0000
O6 O 0.8272 0.8272 0.1770

Record 3
# BeReAg2Sn PBE-GGA optimized geometry
# Crystal system: tetragonal
# Space-group type: P4/mmm
# ΔE_f in eV per atom: 1.6639
data_BeReAg2Sn
_chemical_formula_sum 'Be1 Re1 Ag2 Sn1'
_symmetry_space_group_name_H-M 'P 1'
_symmetry_Int_Tables_number 1
_cell_length_a 5.1332
_cell_length_b 5.0920
_cell_length_c 5.1332
_cell_angle_alpha 90.00
_cell_angle_beta 90.00
_cell_angle_gamma 90.00
loop_
_symmetry_equiv_pos_as_xyz
'x,y,z'
loop_
_atom_site_label
_atom_site_type_symbol
_atom_site_fract_x
_atom_site_fract_y
_atom_site_fract_z
Be1 Be 0.5000 0.5000 0.5000
Ag1 Ag 0.0000 0.0000 0.5000
Ag2 Ag 0.5000 0.0000 0.0000
Re1 Re 0.0000 0.0000 0.0000
Sn1 Sn 0.0000 0.5000 0.0000

Sequential N(E_F) output: 2.94; 9.62; 4.78 states/eV/cell